This record from the Open Quantum Materials Database describes a relaxed DyAgMo crystal. The functional is PBE.

Structure (CIF):
```
data_DyAgMo
_cell_length_a 6.669
_cell_length_b 6.669
_cell_length_c 6.669
_cell_angle_alpha 90.00
_cell_angle_beta 90.00
_cell_angle_gamma 90.00
_space_group_name_H-M_alt 'F -4 3 m'
_space_group_IT_number 216
_space_group_name_Hall 'F -4 2 3'
loop_
_atom_site_label
_atom_site_type_symbol
_atom_site_fract_x
_atom_site_fract_y
_atom_site_fract_z
_atom_site_occupancy
Dy1 Dy 0.000 0.000 0.000 1
Ag1 Ag 0.250 0.250 0.750 1
Mo1 Mo 0.250 0.250 0.250 1
```

Properties
Magnetic moment   11.70 μB/cell
Energy above the lowest structure with this stoichiometry   221 meV per atom
Calculated formation energy   1.18 eV per atom